## BeHgSe2 (PBE)

Data for a relaxed structure of BeHgSe2.

Lattice parameters (Å, degrees): 18.594 3.778 7.620 90.00 133.49 90.00
Fractional coordinates of all 16 atoms:
Be (0.325, 0.757, 0.068)
Be (0.675, 0.243, 0.932)
Be (0.175, 0.257, 0.432)
Be (0.825, 0.743, 0.568)
Hg (0.627, 0.245, 0.548)
Hg (0.373, 0.755, 0.452)
Hg (0.873, 0.745, 0.952)
Hg (0.127, 0.255, 0.048)
Se (0.897, 0.244, 0.586)
Se (0.103, 0.756, 0.414)
Se (0.603, 0.744, 0.914)
Se (0.397, 0.256, 0.086)
Se (0.163, 0.755, 0.822)
Se (0.837, 0.245, 0.178)
Se (0.337, 0.255, 0.678)
Se (0.663, 0.745, 0.322)

Calculated values
The crystal system is monoclinic. As for the formation energy (no corrections): -211 meV/atom. Its density of states at the Fermi level is 0.056 states/eV per atom. The offset from the most stable computed form is 259 meV/atom.

## BeHgSe2 (PBE)

Data for a relaxed structure of BeHgSe2.

Lattice parameters (Å, degrees): 6.308 6.347 6.747 61.05 116.72 116.65
Fractional coordinates of all 8 atoms:
Be (0.478, 0.465, 0.393)
Be (0.741, 0.217, 0.411)
Hg (0.113, 0.964, 0.265)
Hg (0.911, 0.537, 0.887)
Se (0.633, 0.163, 0.708)
Se (0.760, 0.847, 0.441)
Se (0.102, 0.505, 0.328)
Se (0.439, 0.371, 0.094)

Calculated values
The crystal system is triclinic. As for the formation energy (no corrections): -370 meV/atom. Its density of states at the Fermi level is 0.000 states/eV per atom. The offset from the most stable computed form is 100 meV/atom.

## Be2HgSe (PBE)

Data for a relaxed structure of Be2HgSe.

Lattice parameters (Å, degrees): 3.395 3.395 6.581 75.57 75.57 60.99
Fractional coordinates of all 4 atoms:
Be (0.984, 0.984, 0.034)
Be (0.516, 0.516, 0.466)
Hg (0.750, 0.750, 0.750)
Se (0.250, 0.250, 0.250)

Calculated values
The crystal system is monoclinic. As for the formation energy (no corrections): 187 meV/atom. Its density of states at the Fermi level is 0.373 states/eV per atom. The offset from the most stable computed form is 151 meV/atom.

Question: Which formula does entry 2 have?
Answer: BeHgSe2

Question: Which of these has the lowest formation energy (no corrections)?
Answer: number 2